{
  "formula": "Ba3Pt",
  "functional": "PBE",
  "state": "optimized geometry",
  "lattice_angstrom": [[4.478, 0.000, 0.000], [-2.239, 3.878, 0.000], [0.000, 0.000, 11.558]],
  "species": ["Ba", "Ba", "Ba", "Pt"],
  "fractional_positions": [[0.000, 0.000, 0.000], [0.667, 0.333, 0.336], [0.667, 0.333, 0.664], [0.000, 0.000, 0.500]],
  "e_form_ev_per_atom": -0.35,
  "m_tot_mub_per_fu": 0.000
}